{"formula": "Tb8Te4P3S", "functional": "PBE", "state": "relaxed", "magmom_total_mub_per_cell": 0.0, "dos_at_fermi_per_ev_cell": 7.1, "raw_formation_energy_mev_per_atom": -1603, "lattice": [[8.2300, 0.0000, 0.0000], [0.0000, 8.5362, 0.2111], [-4.1150, -4.1115, 5.8211]], "species": ["Te", "Te", "Te", "Te", "Tb", "Tb", "Tb", "Tb", "Tb", "Tb", "Tb", "Tb", "S", "P", "P", "P"], "fractional_positions": [[0.0000, 0.0000, 0.5000], [0.5000, 0.0000, 0.5000], [0.0000, 0.0000, 0.0000], [0.5000, 0.0000, 0.0000], [0.7621, 0.2915, 0.5243], [0.2378, 0.7084, 0.9706], [0.2635, 0.2904, 0.5269], [0.7622, 0.2916, 0.0294], [0.2379, 0.7085, 0.4757], [0.7328, 0.7084, 0.9706], [0.7365, 0.7096, 0.4731], [0.2672, 0.2916, 0.0294], [0.0000, 0.5000, 0.0000], [0.5000, 0.5000, 0.0000], [0.0000, 0.5000, 0.5000], [0.5000, 0.5000, 0.5000]]}


{"formula": "LaCdC2", "functional": "PBE", "state": "relaxed", "magmom_total_mub_per_cell": 0.0, "delta_e_f_ev_per_atom": 1.22, "dos_at_fermi_per_ev_cell": 3.9, "lattice": [[4.6575, 0.0000, 0.0000], [0.0000, 4.6575, 0.0000], [2.3288, 2.3288, 6.9198]], "species": ["La", "La", "Cd", "Cd", "C", "C", "C", "C"], "fractional_positions": [[0.7500, 0.2500, 0.5000], [0.0000, 0.0000, 0.0000], [0.2500, 0.7500, 0.5000], [0.5000, 0.5000, 0.0000], [0.3750, 0.4722, 0.7500], [0.5278, 0.1250, 0.2500], [0.2222, 0.6250, 0.2500], [0.8750, 0.7778, 0.7500]]}


{"formula": "CaFeCoGe3", "functional": "PBE", "state": "relaxed", "magmom_total_mub_per_cell": 1.5, "delta_e_f_ev_per_atom": -0.17, "dos_at_fermi_per_ev_cell": 6.8, "lattice": [[-5.3928, 0.4750, 1.4220], [-1.2471, -6.7856, -2.4628], [1.7568, 1.3809, 6.2009]], "species": ["Ge", "Ge", "Ge", "Ge", "Ge", "Ge", "Ca", "Ca", "Fe", "Fe", "Co", "Co"], "fractional_positions": [[0.5000, 0.7497, 0.0000], [0.0000, 0.2503, 0.0000], [0.5000, 0.2503, 0.0000], [0.2500, 0.2507, 0.5015], [0.7500, 0.7493, 0.4985], [0.0000, 0.7497, 0.0000], [0.2500, 0.7428, 0.4855], [0.7500, 0.2572, 0.5145], [0.2500, 0.0521, 0.1041], [0.7500, 0.9479, 0.8959], [0.7500, 0.5501, 0.1002], [0.2500, 0.4499, 0.8998]]}


{"formula": "MnCu2Ir", "functional": "PBE", "state": "relaxed", "magmom_total_mub_per_cell": 3.9, "delta_e_f_ev_per_atom": 0.16, "dos_at_fermi_per_ev_cell": 3.6, "lattice": [[2.6484, -0.0168, 0.0000], [-1.1045, 2.4071, 0.0000], [0.0000, 0.0000, 8.4688]], "species": ["Cu", "Cu", "Ir", "Mn"], "fractional_positions": [[0.0000, 0.0000, 0.0003], [0.5000, 0.5000, 0.2417], [0.0000, 0.0000, 0.5043], [0.5000, 0.5000, 0.7537]]}


{"formula": "LiMg2Ti3O8", "functional": "PBE", "state": "relaxed", "magmom_total_mub_per_cell": 0.7, "dos_at_fermi_per_ev_cell": 3.9, "raw_formation_energy_mev_per_atom": -2851, "lattice": [[-3.4674, -4.6934, -1.2842], [0.7579, -2.9579, -5.1358], [2.3546, -5.5636, 0.0762]], "species": ["Mg", "Mg", "Ti", "Ti", "Ti", "O", "O", "O", "O", "O", "O", "O", "O", "Li"], "fractional_positions": [[0.1215, 0.1215, 0.6356], [0.4989, 0.4989, 0.5032], [0.5011, 0.9931, 0.0046], [0.5011, 0.5011, 0.0046], [0.9931, 0.5011, 0.0046], [0.7146, 0.2556, 0.7741], [0.7438, 0.7438, 0.2245], [0.7438, 0.2880, 0.2245], [0.2584, 0.2584, 0.2247], [0.2880, 0.7438, 0.2245], [0.7384, 0.7384, 0.7847], [0.2556, 0.2556, 0.7741], [0.2556, 0.7146, 0.7741], [0.8786, 0.8786, 0.3643]]}


{"formula": "Pm2Dy5Y12", "functional": "PBE", "state": "relaxed", "magmom_total_mub_per_cell": 0.0, "e_above_lowest_polymorph_kcal_per_mol_atoms": 0.258, "delta_e_f_ev_per_atom": 0.13, "dos_at_fermi_per_ev_cell": 29.4, "lattice": [[-1.4127, -1.2526, -9.1448], [-5.0877, -9.0294, 6.7900], [-1.8096, 8.3630, -0.8659]], "species": ["Pm", "Pm", "Dy", "Dy", "Dy", "Dy", "Dy", "Y", "Y", "Y", "Y", "Y", "Y", "Y", "Y", "Y", "Y", "Y", "Y"], "fractional_positions": [[0.3221, 0.0000, 0.0000], [0.6779, 0.0000, 0.0000], [0.7001, 0.4002, 0.3860], [0.7691, 0.5382, 0.1126], [0.2309, 0.4618, 0.8874], [0.0000, 0.0000, 0.5000], [0.2999, 0.5998, 0.6140], [0.0856, 0.1712, 0.2936], [0.5635, 0.7440, 0.4016], [0.4423, 0.8845, 0.2150], [0.1805, 0.7440, 0.4016], [0.4365, 0.2560, 0.5984], [0.0265, 0.6940, 0.9343], [0.3325, 0.3060, 0.0657], [0.9144, 0.8288, 0.7064], [0.9735, 0.3060, 0.0657], [0.8195, 0.2560, 0.5984], [0.5577, 0.1155, 0.7850], [0.6675, 0.6940, 0.9343]]}


{"formula": "La2TaCo", "functional": "PBE", "state": "relaxed", "magmom_total_mub_per_cell": 0.0, "e_above_lowest_polymorph_kcal_per_mol_atoms": 10.118, "delta_e_f_ev_per_atom": 0.54, "dos_at_fermi_per_ev_cell": 4.2, "lattice": [[9.2089, -0.0015, -0.0009], [8.5486, 3.4244, -0.0009], [8.5486, 1.6478, 3.0018]], "species": ["La", "La", "Ta", "Co"], "fractional_positions": [[0.0135, 0.0135, 0.0135], [0.4865, 0.4865, 0.4865], [0.2500, 0.2500, 0.2500], [0.7500, 0.7500, 0.7500]]}


{"formula": "Tm2SiPRh6", "functional": "PBE", "state": "relaxed", "magmom_total_mub_per_cell": 0.0, "dos_at_fermi_per_ev_cell": 11.2, "raw_formation_energy_mev_per_atom": -718, "lattice": [[5.7930, 0.0000, 0.0000], [0.0000, 7.0936, 0.0000], [0.0000, 0.0000, 8.5637]], "species": ["Tm", "Tm", "Tm", "Tm", "P", "P", "Rh", "Rh", "Rh", "Rh", "Rh", "Rh", "Rh", "Rh", "Rh", "Rh", "Rh", "Rh", "Si", "Si"], "fractional_positions": [[0.0000, 0.2655, 0.2315], [0.5000, 0.7345, 0.2685], [0.0000, 0.2655, 0.7685], [0.5000, 0.7345, 0.7315], [0.5000, 0.2345, 0.5000], [0.0000, 0.7655, 0.0000], [0.7616, 0.0007, 0.5000], [0.2582, 0.5382, 0.0000], [0.7384, 0.9993, 0.0000], [0.7582, 0.4618, 0.5000], [0.0000, 0.8553, 0.7490], [0.2616, 0.9993, 0.0000], [0.5000, 0.1447, 0.2490], [0.0000, 0.8553, 0.2510], [0.5000, 0.1447, 0.7510], [0.2384, 0.0007, 0.5000], [0.2418, 0.4618, 0.5000], [0.7418, 0.5382, 0.0000], [0.0000, 0.7203, 0.5000], [0.5000, 0.2797, 0.0000]]}


{"formula": "LiPmAs2Pd5", "functional": "PBE", "state": "relaxed", "magmom_total_mub_per_cell": 0.0, "delta_e_f_ev_per_atom": -0.63, "dos_at_fermi_per_ev_cell": 2.7, "lattice": [[4.2048, 0.0000, 0.0000], [0.0000, 4.2048, 0.0000], [0.0000, 0.0000, 9.3263]], "species": ["Pd", "Pd", "Pd", "Pd", "Pd", "Pm", "As", "As", "Li"], "fractional_positions": [[0.5000, 0.5000, 0.5000], [0.0000, 0.5000, 0.7288], [0.0000, 0.5000, 0.2712], [0.5000, 0.0000, 0.2712], [0.5000, 0.0000, 0.7288], [0.0000, 0.0000, 0.5000], [0.5000, 0.5000, 0.8682], [0.5000, 0.5000, 0.1318], [0.0000, 0.0000, 0.0000]]}


{"formula": "DyTmZnPt", "functional": "PBE", "state": "relaxed", "magmom_total_mub_per_cell": 0.0, "e_above_lowest_polymorph_kcal_per_mol_atoms": 0.359, "delta_e_f_ev_per_atom": -0.81, "dos_at_fermi_per_ev_cell": 2.8, "lattice": [[4.9495, 0.0000, 0.0000], [2.4748, 4.2864, 0.0000], [2.4748, 1.4288, 4.0412]], "species": ["Pt", "Tm", "Dy", "Zn"], "fractional_positions": [[0.5000, 0.5000, 0.5000], [0.7500, 0.7500, 0.7500], [0.2500, 0.2500, 0.2500], [0.0000, 0.0000, 0.0000]]}


{"formula": "LaTm2Pu", "functional": "PBE", "state": "relaxed", "magmom_total_mub_per_cell": 6.5, "e_above_lowest_polymorph_kcal_per_mol_atoms": 0.965, "delta_e_f_ev_per_atom": 0.15, "dos_at_fermi_per_ev_cell": 15.9, "lattice": [[5.0510, 0.0000, 0.0000], [0.0000, 4.9437, 0.0000], [0.0000, 0.0000, 4.9437]], "species": ["Tm", "Tm", "Pu", "La"], "fractional_positions": [[0.0000, 0.0000, 0.5000], [0.0000, 0.5000, 0.0000], [0.5000, 0.5000, 0.5000], [0.5000, 0.0000, 0.0000]]}


{"formula": "Cd2Ge2Pb", "functional": "PBE", "state": "relaxed", "magmom_total_mub_per_cell": 0.0, "e_above_lowest_polymorph_kcal_per_mol_atoms": 0.000, "delta_e_f_ev_per_atom": 0.15, "dos_at_fermi_per_ev_cell": 1.6, "lattice": [[-2.6031, 0.2647, 3.7505], [-1.3460, -4.3250, -0.6290], [2.5071, -3.8965, 4.8030]], "species": ["Cd", "Cd", "Ge", "Ge", "Pb"], "fractional_positions": [[0.2500, 0.7500, 0.5000], [0.7500, 0.2500, 0.5000], [0.6063, 0.6063, 0.7875], [0.3937, 0.3937, 0.2125], [0.0000, 0.0000, 0.0000]]}